Record 1
VASP calculation (PBE) on an optimized crystal structure of NaLa2F8.

## Properties
The uncorrected formation energy is -38.3 eV/f.u.

Unit cell a=14.129 b=4.093 c=5.858 alpha=90.00 beta=114.03 gamma=90.00
Space group C2/m (No. 12)
One atom of each set of equivalent atoms:
Na  0.000  0.000  0.000
La  0.165  0.500  0.658
F  0.014  0.500  0.278
F  0.100  0.000  0.768
F  0.172  0.000  0.395
F  0.216  0.500  0.110

Record 2
VASP calculation (PBE) on an optimized crystal structure of Cs2NaRuF6.

## Properties
The uncorrected formation energy is -23.7 eV/f.u.

Unit cell a=8.901 b=8.901 c=8.901 alpha=90.00 beta=90.00 gamma=90.00
Space group Fm-3m (No. 225)
One atom of each set of equivalent atoms:
Cs  0.250  0.250  0.250
Na  0.000  0.000  0.000
Ru  0.000  0.000  0.500
F  0.000  0.000  0.270

Record 3
VASP calculation (PBE) on an optimized crystal structure of PrNd2Pt.

## Properties
Its uncorrected energy is -5.372 eV/atom.

Unit cell a=3.8374 b=3.8374 c=32.5422 alpha=90.00 beta=90.00 gamma=120.00
Space group R-3m (No. 166, hexagonal axes)
One atom of each set of equivalent atoms:
Pr  0.0000  0.0000  0.0000
Nd  0.0000  0.0000  0.1101
Pt  0.0000  0.0000  0.5000

Record 4
VASP calculation (PBE) on an optimized crystal structure of NaCdInCo2.

## Properties
Its uncorrected energy is -2.789 eV/atom.

Unit cell a=4.830 b=4.830 c=5.350 alpha=90.00 beta=90.00 gamma=90.00
Space group P4/mmm (No. 123)
One atom of each set of equivalent atoms:
Na  0.000  0.000  0.000
Cd  0.500  0.500  0.000
In  0.000  0.000  0.500
Co  0.000  0.500  0.500

Record 5
VASP calculation (PBE) on an optimized crystal structure of In9Sn2Bi4.

## Properties
Its uncorrected energy is -3.162 eV/atom.

Unit cell a=5.596 b=5.597 c=16.014 alpha=83.67 beta=83.74 gamma=61.72
Space group P-1 (No. 2)
One atom of each set of equivalent atoms:
In  0.000  0.000  0.000
In  0.026  0.030  0.399
In  0.037  0.041  0.200
In  0.331  0.333  0.045
In  0.353  0.357  0.433
Sn  0.370  0.374  0.236
Bi  0.291  0.287  0.842
Bi  0.304  0.299  0.634

Record 6
VASP calculation (PBE) on an optimized crystal structure of Tl2CuSb2.

## Properties
The uncorrected formation energy is 0.3 eV/f.u.

Unit cell a=6.898 b=6.898 c=5.977 alpha=90.00 beta=90.00 gamma=90.00
Space group P4/mbm (No. 127)
One atom of each set of equivalent atoms:
Tl  0.175  0.325  0.000
Cu  0.000  0.000  0.500
Sb  0.150  0.650  0.500